No. 1
Cd4HgSe5 after structural relaxation, computed with PBE-GGA.

Unit cell a=4.393 b=4.393 c=35.860 alpha=90.00 beta=90.00 gamma=120.00
Fractional coordinates of all 20 atoms:
Cd (0.000, 0.000, 0.000)
Cd (0.000, 0.000, 0.199)
Cd (0.000, 0.000, 0.398)
Cd (0.000, 0.000, 0.598)
Cd (0.000, 0.000, 0.799)
Cd (0.333, 0.667, 0.100)
Cd (0.333, 0.667, 0.299)
Cd (0.333, 0.667, 0.498)
Hg (0.333, 0.667, 0.698)
Hg (0.333, 0.667, 0.899)
Se (0.000, 0.000, 0.124)
Se (0.000, 0.000, 0.323)
Se (0.000, 0.000, 0.523)
Se (0.000, 0.000, 0.724)
Se (0.000, 0.000, 0.925)
Se (0.333, 0.667, 0.024)
Se (0.333, 0.667, 0.224)
Se (0.333, 0.667, 0.423)
Se (0.333, 0.667, 0.622)
Se (0.333, 0.667, 0.823)

Values from the calculation:
Uncorrected formation energy, eV/atom: -0.542
Crystal system: trigonal
Space-group type: P3m1, No. 156

=====

No. 2
Cs2HfInI6 after structural relaxation, computed with PBE-GGA.

Unit cell a=16.563 b=16.563 c=16.563 alpha=30.00 beta=30.00 gamma=30.00
Fractional coordinates of all 20 atoms:
Cs (0.132, 0.132, 0.132)
Cs (0.305, 0.305, 0.305)
Cs (0.695, 0.695, 0.695)
Cs (0.868, 0.868, 0.868)
Hf (0.000, 0.000, 0.000)
Hf (0.500, 0.500, 0.500)
In (0.420, 0.420, 0.420)
In (0.580, 0.580, 0.580)
I (0.134, 0.632, 0.632)
I (0.194, 0.194, 0.719)
I (0.194, 0.719, 0.194)
I (0.281, 0.806, 0.806)
I (0.368, 0.368, 0.866)
I (0.368, 0.866, 0.368)
I (0.632, 0.134, 0.632)
I (0.632, 0.632, 0.134)
I (0.719, 0.194, 0.194)
I (0.806, 0.281, 0.806)
I (0.806, 0.806, 0.281)
I (0.866, 0.368, 0.368)

Values from the calculation:
Uncorrected formation energy, eV/atom: -0.999
Crystal system: trigonal
Relative energy among the computed polymorphs, eV per atom: 0.000
Space-group type: R-3m, No. 166

=====

No. 3
LaFeTe after structural relaxation, computed with PBE-GGA.

Unit cell a=4.451 b=4.451 c=4.157 alpha=90.00 beta=90.00 gamma=120.00
Fractional coordinates of all 3 atoms:
La (0.000, 0.000, 0.000)
Fe (0.333, 0.667, 0.500)
Te (0.667, 0.333, 0.500)

Values from the calculation:
Uncorrected formation energy, eV/atom: -0.557
Crystal system: hexagonal
Space-group type: P-6m2, No. 187

=====

No. 4
CdGeI2O after structural relaxation, computed with PBE-GGA.

Unit cell a=5.980 b=5.980 c=4.065 alpha=90.00 beta=90.00 gamma=90.00
Fractional coordinates of all 5 atoms:
Cd (0.000, 0.000, 0.000)
Ge (0.500, 0.500, 0.500)
I (0.000, 0.500, 0.000)
I (0.500, 0.000, 0.000)
O (0.000, 0.000, 0.500)

Values from the calculation:
Uncorrected formation energy, eV/atom: 0.110
Crystal system: tetragonal
Relative energy among the computed polymorphs, eV per atom: 0.384
Space-group type: P4/mmm, No. 123

=====

No. 5
MgOsW2 after structural relaxation, computed with PBE-GGA.

Unit cell a=4.683 b=4.683 c=2.887 alpha=90.00 beta=90.00 gamma=90.00
Fractional coordinates of all 4 atoms:
Mg (0.000, 0.000, 0.000)
Os (0.500, 0.500, 0.000)
W (0.000, 0.500, 0.500)
W (0.500, 0.000, 0.500)

Values from the calculation:
Crystal system: tetragonal
Space-group type: P4/mmm, No. 123

=====

No. 6
Ac3Sb after structural relaxation, computed with PBE-GGA.

Unit cell a=6.698 b=6.698 c=6.698 alpha=134.47 beta=134.47 gamma=66.36
Fractional coordinates of all 4 atoms:
Ac (0.000, 0.000, 0.000)
Ac (0.250, 0.750, 0.500)
Ac (0.750, 0.250, 0.500)
Sb (0.500, 0.500, 0.000)

Values from the calculation:
Uncorrected formation energy, eV/atom: -0.382
Crystal system: tetragonal
Relative energy among the computed polymorphs, eV per atom: 0.069
Space-group type: I4/mmm, No. 139

=====

No. 7
Ca4InSn after structural relaxation, computed with PBE-GGA.

Unit cell a=5.358 b=5.358 c=9.084 alpha=107.47 beta=107.47 gamma=59.61
Fractional coordinates of all 6 atoms:
Ca (0.125, 0.125, 0.374)
Ca (0.290, 0.290, 0.871)
Ca (0.710, 0.710, 0.129)
Ca (0.875, 0.875, 0.626)
In (0.500, 0.500, 0.500)
Sn (0.000, 0.000, 0.000)

Values from the calculation:
Crystal system: monoclinic
Relative energy among the computed polymorphs, eV per atom: 0.014
Space-group type: C2/m, No. 12

=====

No. 8
CrAs4Br after structural relaxation, computed with PBE-GGA.

Unit cell a=5.949 b=5.949 c=5.949 alpha=60.00 beta=60.00 gamma=60.00
Fractional coordinates of all 6 atoms:
Cr (0.000, 0.000, 0.000)
As (0.185, 0.605, 0.605)
As (0.605, 0.185, 0.605)
As (0.605, 0.605, 0.185)
As (0.605, 0.605, 0.605)
Br (0.250, 0.250, 0.250)

Values from the calculation:
Uncorrected formation energy, eV/atom: 0.429
Crystal system: cubic
Space-group type: F-43m, No. 216

=====

Looking at total energy for the records above, in order, we have -53.61; -67.37; -18.20; -13.04; -36.37; -17.98; -17.01; -27.32 eV for the cell shown.